Entry 1:
Here is a relaxed structure of Pa2Co3CuAs4 from the Alexandria database. Energies are from PBE.

Cell and atoms, written as extended XYZ:
```
10
Lattice="-2.378 2.224 2.647 -0.917 -3.503 2.120 7.226 1.349 5.357" Properties=species:S:1:pos:R:3 pbc="T T T"
Pa 0.632 1.452 2.673
Pa 4.946 -0.743 5.067
As 3.399 1.969 4.725
As 2.179 -1.259 3.015
As 0.000 0.000 0.000
As -1.648 -0.639 2.383
Co 0.351 -1.600 1.660
Co 3.613 0.675 2.678
Co 5.227 2.310 6.080
Cu 1.965 0.035 5.062
```

Properties
Its energy relative to the elements is -610 meV/atom. The value obtained for the volume is 160 Å³/f.u.

Entry 2:
Here is a relaxed structure of CoCuAs2Pb from the Alexandria database. Energies are from PBE.

Cell and atoms, written as extended XYZ:
```
5
Lattice="4.688 0.000 0.000 0.000 4.656 0.000 0.000 0.000 4.688" Properties=species:S:1:pos:R:3 pbc="T T T"
Co 0.000 2.328 0.000
Pb 2.344 2.328 2.344
As 2.344 0.000 0.000
As 0.000 0.000 2.344
Cu 0.000 0.000 0.000
```

Properties
Its energy relative to the elements is 698 meV/atom. The value obtained for the volume is 102 Å³/f.u.

Entry 3:
Here is a relaxed structure of Pm2Co3CuAs4 from the Alexandria database. Energies are from PBE.

Cell and atoms, written as extended XYZ:
```
10
Lattice="4.176 0.000 0.000 0.000 4.176 0.000 0.000 0.000 9.536" Properties=species:S:1:pos:R:3 pbc="T T T"
Co 0.000 2.088 1.078
Co 2.088 0.000 8.458
Co 0.000 0.000 4.768
Pm 2.088 0.000 2.341
Pm 0.000 2.088 7.195
As 2.088 2.088 0.000
As 2.088 0.000 6.100
As 0.000 0.000 0.000
As 0.000 2.088 3.436
Cu 2.088 2.088 4.768
```

Properties
Its energy relative to the elements is -710 meV/atom. The value obtained for the volume is 166 Å³/f.u.

Entry 4:
Here is a relaxed structure of CoCuAsRh from the Alexandria database. Energies are from PBE.

Cell and atoms, written as extended XYZ:
```
4
Lattice="-0.363 -4.161 0.032 1.483 -2.250 -3.191 3.387 -2.388 0.524" Properties=species:S:1:pos:R:3 pbc="T T T"
Cu 1.127 -2.200 -0.659
Co 2.253 -4.399 -1.318
As 3.380 -6.599 -1.977
Rh 0.000 0.000 0.000
```

Properties
Its energy relative to the elements is -53 meV/atom. The value obtained for the volume is 52 Å³/f.u.

Entry 5:
Here is a relaxed structure of Sc2CoCuAs from the Alexandria database. Energies are from PBE.

Cell and atoms, written as extended XYZ:
```
5
Lattice="-2.495 -0.254 -4.104 -0.065 -4.256 0.303 -4.112 0.240 2.485" Properties=species:S:1:pos:R:3 pbc="T T T"
As -3.336 -2.135 -0.658
Cu 0.000 0.000 0.000
Sc -1.248 -0.127 -2.052
Sc -2.056 0.120 1.242
Co -0.033 -2.128 0.152
```

Properties
Its energy relative to the elements is 192 meV/atom. The value obtained for the volume is 99 Å³/f.u.

Entry 6:
Here is a relaxed structure of Sm2Co3CuAs4 from the Alexandria database. Energies are from PBE.

Cell and atoms, written as extended XYZ:
```
10
Lattice="-4.140 -0.363 -0.269 0.288 -4.030 1.007 -0.797 2.247 9.224" Properties=species:S:1:pos:R:3 pbc="T T T"
Sm -0.457 -0.319 7.464
Sm -2.265 0.370 2.128
As -0.143 -1.206 3.823
As -1.926 -2.197 0.369
As -2.580 1.257 5.769
As 0.000 0.000 0.000
Co 0.054 -1.760 1.550
Co -0.399 1.124 4.612
Co -2.776 1.811 8.043
Cu -2.324 -1.073 4.981
```

Properties
Its energy relative to the elements is -705 meV/atom. The value obtained for the volume is 165 Å³/f.u.